No. 1
Entry from the Alexandria database: crystalline TaTlTe2 at its relaxed geometry (PBE).

## Properties
The energy relative to the elements, uncorrected comes out at 0.3135 eV/atom. Its space group is Pmm2 (25).

```
data_TaTlTe2
_cell_length_a 3.467
_cell_length_b 3.947
_cell_length_c 7.669
_cell_angle_alpha 90.00
_cell_angle_beta 90.00
_cell_angle_gamma 90.00
_space_group_name_H-M_alt 'P 1'
_space_group_IT_number 1
_space_group_name_Hall 'P 1'
loop_
_atom_site_label
_atom_site_type_symbol
_atom_site_fract_x
_atom_site_fract_y
_atom_site_fract_z
Ta1 Ta 0.000 0.000 0.000
Tl1 Tl 0.500 0.500 0.714
Te1 Te 0.000 0.000 0.405
Te2 Te 0.500 0.500 0.139
```

No. 2
Entry from the Alexandria database: crystalline TaTlTe at its relaxed geometry (PBE).

## Properties
The energy relative to the elements, uncorrected comes out at 0.2607 eV/atom. Its space group is I4mm (107). The offset from the most stable computed form is 26 kJ/mol of formula units.

```
data_TaTlTe
_cell_length_a 6.517
_cell_length_b 6.517
_cell_length_c 6.517
_cell_angle_alpha 149.17
_cell_angle_beta 149.17
_cell_angle_gamma 44.17
_space_group_name_H-M_alt 'P 1'
_space_group_IT_number 1
_space_group_name_Hall 'P 1'
loop_
_atom_site_label
_atom_site_type_symbol
_atom_site_fract_x
_atom_site_fract_y
_atom_site_fract_z
Ta1 Ta 0.000 0.000 0.000
Tl1 Tl 0.337 0.337 0.000
Te1 Te 0.620 0.620 0.000
```

No. 3
Entry from the Alexandria database: crystalline TaTl3Te at its relaxed geometry (PBE).

## Properties
The energy relative to the elements, uncorrected comes out at 0.7654 eV/atom. Its space group is Pm-3m (221). The offset from the most stable computed form is 0 kJ/mol of formula units.

```
data_TaTl3Te
_cell_length_a 5.570
_cell_length_b 5.570
_cell_length_c 5.570
_cell_angle_alpha 90.00
_cell_angle_beta 90.00
_cell_angle_gamma 90.00
_space_group_name_H-M_alt 'P 1'
_space_group_IT_number 1
_space_group_name_Hall 'P 1'
loop_
_atom_site_label
_atom_site_type_symbol
_atom_site_fract_x
_atom_site_fract_y
_atom_site_fract_z
Ta1 Ta 0.000 0.000 0.000
Tl1 Tl 0.000 0.000 0.500
Tl2 Tl 0.000 0.500 0.000
Tl3 Tl 0.500 0.000 0.000
Te1 Te 0.500 0.500 0.500
```

No. 4
Entry from the Alexandria database: crystalline TaTl2V2Te6 at its relaxed geometry (PBE).

## Properties
The energy relative to the elements, uncorrected comes out at -0.2425 eV/atom. Its space group is C2/m (12).

```
data_TaTl2V2Te6
_cell_length_a 6.586
_cell_length_b 6.586
_cell_length_c 8.969
_cell_angle_alpha 95.26
_cell_angle_beta 95.26
_cell_angle_gamma 121.31
_space_group_name_H-M_alt 'P 1'
_space_group_IT_number 1
_space_group_name_Hall 'P 1'
loop_
_atom_site_label
_atom_site_type_symbol
_atom_site_fract_x
_atom_site_fract_y
_atom_site_fract_z
Ta1 Ta 0.000 0.000 0.000
Tl1 Tl 0.182 0.818 0.500
Tl2 Tl 0.818 0.182 0.500
V1 V 0.374 0.626 0.000
V2 V 0.626 0.374 0.000
Te1 Te 0.034 0.394 0.174
Te2 Te 0.271 0.271 0.782
Te3 Te 0.394 0.034 0.174
Te4 Te 0.606 0.966 0.826
Te5 Te 0.729 0.729 0.218
Te6 Te 0.966 0.606 0.826
```

No. 5
Entry from the Alexandria database: crystalline Ta2TlZnTe at its relaxed geometry (PBE).

## Properties
The energy relative to the elements, uncorrected comes out at 1.3524 eV/atom. Its space group is P4/mmm (123).

```
data_Ta2TlZnTe
_cell_length_a 4.979
_cell_length_b 4.979
_cell_length_c 4.850
_cell_angle_alpha 90.00
_cell_angle_beta 90.00
_cell_angle_gamma 90.00
_space_group_name_H-M_alt 'P 1'
_space_group_IT_number 1
_space_group_name_Hall 'P 1'
loop_
_atom_site_label
_atom_site_type_symbol
_atom_site_fract_x
_atom_site_fract_y
_atom_site_fract_z
Ta1 Ta 0.000 0.500 0.000
Ta2 Ta 0.500 0.000 0.000
Tl1 Tl 0.000 0.000 0.500
Zn1 Zn 0.000 0.000 0.000
Te1 Te 0.500 0.500 0.500
```

No. 6
Entry from the Alexandria database: crystalline ZrTa2Tl2Te6 at its relaxed geometry (PBE).

## Properties
The energy relative to the elements, uncorrected comes out at -0.4080 eV/atom. Its space group is C2/m (12).

```
data_ZrTa2Tl2Te6
_cell_length_a 6.842
_cell_length_b 6.842
_cell_length_c 8.882
_cell_angle_alpha 95.39
_cell_angle_beta 95.39
_cell_angle_gamma 120.99
_space_group_name_H-M_alt 'P 1'
_space_group_IT_number 1
_space_group_name_Hall 'P 1'
loop_
_atom_site_label
_atom_site_type_symbol
_atom_site_fract_x
_atom_site_fract_y
_atom_site_fract_z
Zr1 Zr 0.000 0.000 0.000
Ta1 Ta 0.377 0.623 0.000
Ta2 Ta 0.623 0.377 0.000
Tl1 Tl 0.184 0.816 0.500
Tl2 Tl 0.816 0.184 0.500
Te1 Te 0.033 0.399 0.180
Te2 Te 0.265 0.265 0.767
Te3 Te 0.399 0.033 0.180
Te4 Te 0.601 0.967 0.820
Te5 Te 0.735 0.735 0.233
Te6 Te 0.967 0.601 0.820
```

No. 7
Entry from the Alexandria database: crystalline TmTa4Te8 at its relaxed geometry (PBE).

## Properties
The energy relative to the elements, uncorrected comes out at -0.3423 eV/atom. Its space group is R-3m (166).

```
data_TmTa4Te8
_cell_length_a 8.617
_cell_length_b 8.617
_cell_length_c 8.617
_cell_angle_alpha 52.13
_cell_angle_beta 52.13
_cell_angle_gamma 52.13
_space_group_name_H-M_alt 'P 1'
_space_group_IT_number 1
_space_group_name_Hall 'P 1'
loop_
_atom_site_label
_atom_site_type_symbol
_atom_site_fract_x
_atom_site_fract_y
_atom_site_fract_z
Tm1 Tm 0.000 0.000 0.000
Ta1 Ta 0.000 0.000 0.500
Ta2 Ta 0.000 0.500 0.000
Ta3 Ta 0.500 0.000 0.000
Ta4 Ta 0.500 0.500 0.500
Te1 Te 0.247 0.247 0.247
Te2 Te 0.256 0.742 0.742
Te3 Te 0.258 0.258 0.744
Te4 Te 0.258 0.744 0.258
Te5 Te 0.742 0.256 0.742
Te6 Te 0.742 0.742 0.256
Te7 Te 0.744 0.258 0.258
Te8 Te 0.753 0.753 0.753
```

No. 8
Entry from the Alexandria database: crystalline TmTaTe2 at its relaxed geometry (PBE).

## Properties
The energy relative to the elements, uncorrected comes out at 0.1534 eV/atom. Its space group is R-3m (166).

```
data_TmTaTe2
_cell_length_a 9.671
_cell_length_b 9.671
_cell_length_c 9.671
_cell_angle_alpha 22.73
_cell_angle_beta 22.73
_cell_angle_gamma 22.73
_space_group_name_H-M_alt 'P 1'
_space_group_IT_number 1
_space_group_name_Hall 'P 1'
loop_
_atom_site_label
_atom_site_type_symbol
_atom_site_fract_x
_atom_site_fract_y
_atom_site_fract_z
Tm1 Tm 0.000 0.000 0.000
Ta1 Ta 0.500 0.500 0.500
Te1 Te 0.404 0.404 0.404
Te2 Te 0.596 0.596 0.596
```

No. 9
Entry from the Alexandria database: crystalline UTa4Te8 at its relaxed geometry (PBE).

## Properties
The energy relative to the elements, uncorrected comes out at -0.1997 eV/atom. Its space group is R-3m (166).

```
data_UTa4Te8
_cell_length_a 8.480
_cell_length_b 8.480
_cell_length_c 8.480
_cell_angle_alpha 54.06
_cell_angle_beta 54.06
_cell_angle_gamma 54.06
_space_group_name_H-M_alt 'P 1'
_space_group_IT_number 1
_space_group_name_Hall 'P 1'
loop_
_atom_site_label
_atom_site_type_symbol
_atom_site_fract_x
_atom_site_fract_y
_atom_site_fract_z
U1 U 0.000 0.000 0.000
Ta1 Ta 0.000 0.000 0.500
Ta2 Ta 0.000 0.500 0.000
Ta3 Ta 0.500 0.000 0.000
Ta4 Ta 0.500 0.500 0.500
Te1 Te 0.247 0.247 0.247
Te2 Te 0.260 0.260 0.739
Te3 Te 0.260 0.739 0.260
Te4 Te 0.261 0.740 0.740
Te5 Te 0.739 0.260 0.260
Te6 Te 0.740 0.261 0.740
Te7 Te 0.740 0.740 0.261
Te8 Te 0.753 0.753 0.753
```

No. 10
Entry from the Alexandria database: crystalline UTaTe2 at its relaxed geometry (PBE).

## Properties
The energy relative to the elements, uncorrected comes out at 0.1592 eV/atom. Its space group is R-3m (166).

```
data_UTaTe2
_cell_length_a 10.417
_cell_length_b 10.417
_cell_length_c 10.417
_cell_angle_alpha 19.06
_cell_angle_beta 19.06
_cell_angle_gamma 19.06
_space_group_name_H-M_alt 'P 1'
_space_group_IT_number 1
_space_group_name_Hall 'P 1'
loop_
_atom_site_label
_atom_site_type_symbol
_atom_site_fract_x
_atom_site_fract_y
_atom_site_fract_z
U1 U 0.000 0.000 0.000
Ta1 Ta 0.500 0.500 0.500
Te1 Te 0.103 0.103 0.103
Te2 Te 0.897 0.897 0.897
```

No. 11
Entry from the Alexandria database: crystalline UTaTe3 at its relaxed geometry (PBE).

## Properties
The energy relative to the elements, uncorrected comes out at -0.4640 eV/atom. Its space group is C2/m (12).

```
data_UTaTe3
_cell_length_a 7.869
_cell_length_b 7.869
_cell_length_c 11.038
_cell_angle_alpha 123.34
_cell_angle_beta 123.34
_cell_angle_gamma 28.25
_space_group_name_H-M_alt 'P 1'
_space_group_IT_number 1
_space_group_name_Hall 'P 1'
loop_
_atom_site_label
_atom_site_type_symbol
_atom_site_fract_x
_atom_site_fract_y
_atom_site_fract_z
U1 U 0.085 0.085 0.418
U2 U 0.915 0.915 0.582
Ta1 Ta 0.251 0.251 0.897
Ta2 Ta 0.749 0.749 0.103
Te1 Te 0.089 0.089 0.942
Te2 Te 0.325 0.325 0.700
Te3 Te 0.391 0.391 0.331
Te4 Te 0.609 0.609 0.669
Te5 Te 0.675 0.675 0.300
Te6 Te 0.911 0.911 0.058
```

No. 12
Entry from the Alexandria database: crystalline TaVTe2 at its relaxed geometry (PBE).

## Properties
The energy relative to the elements, uncorrected comes out at 0.5041 eV/atom. Its space group is I-42d (122). The offset from the most stable computed form is 143 kJ/mol of formula units.

```
data_TaVTe2
_cell_length_a 7.665
_cell_length_b 7.665
_cell_length_c 7.665
_cell_angle_alpha 131.59
_cell_angle_beta 131.59
_cell_angle_gamma 70.87
_space_group_name_H-M_alt 'P 1'
_space_group_IT_number 1
_space_group_name_Hall 'P 1'
loop_
_atom_site_label
_atom_site_type_symbol
_atom_site_fract_x
_atom_site_fract_y
_atom_site_fract_z
Ta1 Ta 0.000 0.000 0.000
Ta2 Ta 0.750 0.250 0.500
V1 V 0.250 0.750 0.500
V2 V 0.500 0.500 0.000
Te1 Te 0.129 0.625 0.004
Te2 Te 0.375 0.379 0.504
Te3 Te 0.621 0.125 0.996
Te4 Te 0.875 0.871 0.496
```

M_tot? In order: 0.0 0.0 1.6 1.1 2.9 0.0 0.0 1.5 2.9 3.6 5.1 10.0 μB/cell.